LaTc3O12: optimized geometry, GGA-PBE.

Cell: 9.0310 9.0310 10.6379 Å, 64.88 64.88 60.00°
Closest atoms and distances in Å follow each position.
Fractional positions:
O (0.2638, 0.5941, 0.5324)  1 Tc 1.75
O (0.7638, 0.1096, 0.0324)  1 Tc 1.75
O (0.8893, 0.3495, 0.3449)  1 Tc 1.75
O (0.9844, 0.5934, 0.4728)  1 Tc 1.71
O (0.8932, 0.1890, 0.6439)  1 Tc 1.76
O (0.4494, 0.0934, 0.9728)  1 Tc 1.71
O (0.6096, 0.2638, 0.5324)  1 Tc 1.75
O (0.0934, 0.4844, 0.9728)  1 Tc 1.71
O (0.5941, 0.6096, 0.5324)  1 Tc 1.75
O (0.9163, 0.8495, 0.8449)  1 Tc 1.75
O (0.3893, 0.9163, 0.8449)  1 Tc 1.75
O (0.4163, 0.8893, 0.3449)  1 Tc 1.75
O (0.0941, 0.7638, 0.0324)  1 Tc 1.75
O (0.1096, 0.0941, 0.0324)  1 Tc 1.75
O (0.3932, 0.7739, 0.1439)  1 Tc 1.76
O (0.3495, 0.4163, 0.3449)  1 Tc 1.75
O (0.1890, 0.2739, 0.6439)  1 Tc 1.76
O (0.6890, 0.3932, 0.1439)  1 Tc 1.76
O (0.2739, 0.8932, 0.6439)  1 Tc 1.76
O (0.7739, 0.6890, 0.1439)  1 Tc 1.76
O (0.4844, 0.4494, 0.9728)  1 Tc 1.71
O (0.9494, 0.9844, 0.4728)  1 Tc 1.71
O (0.8495, 0.3893, 0.8449)  1 Tc 1.75
O (0.5934, 0.9494, 0.4728)  1 Tc 1.71
Tc (0.1897, 0.4687, 0.5027)  4 O 1.71-1.76
Tc (0.3390, 0.9687, 0.0027)  4 O 1.71-1.76
Tc (0.9687, 0.6897, 0.0027)  4 O 1.71-1.76
Tc (0.4687, 0.8390, 0.5027)  4 O 1.71-1.76
Tc (0.8390, 0.1897, 0.5027)  4 O 1.71-1.76
Tc (0.6897, 0.3390, 0.0027)  4 O 1.71-1.76
La (0.0593, 0.0593, 0.8220)  9 O 2.45-2.67
La (0.5593, 0.5593, 0.3220)  9 O 2.45-2.67

Computed properties:
**Uncorrected formation energy**: -1.72 eV per atom
**Space group**: No. 161
**Energy**: -7.6930 eV per atom

***

Pm2ErHfN4: optimized geometry, GGA-PBE.

Cell: 3.4296 5.9523 6.0192 Å, 109.04 90.00 90.00°
Closest atoms and distances in Å follow each position.
Fractional positions:
Er (0.5000, 0.5000, 0.0000)  6 N 2.40
N (0.5000, 0.2293, 0.2207)  2 Hf 2.32, 1 Er 2.40, 3 Pm 2.49-2.57
N (0.0000, 0.2441, 0.7736)  1 Hf 2.29, 2 Er 2.40, 2 Pm 2.49
N (0.0000, 0.7559, 0.2264)  1 Hf 2.29, 2 Er 2.40, 2 Pm 2.49
N (0.5000, 0.7707, 0.7793)  2 Hf 2.32, 1 Er 2.40, 3 Pm 2.49-2.57
Pm (0.5000, 0.0000, 0.5000)  6 N 2.49
Pm (0.0000, 0.5000, 0.5000)  6 N 2.57-2.58
Hf (0.0000, 0.0000, 0.0000)  6 N 2.29-2.32

Computed properties:
**Uncorrected formation energy**: -1.63 eV per atom
**Space group**: No. 10
**Energy**: -8.7979 eV per atom

***

Number 1: size of the total moment 0.00 Bohr magnetons per cell. Number 2: size of the total moment 0.00 Bohr magnetons per cell.